A crystal of Cs2TlReSi relaxed with PBEsol, computed with meta-GGA SCAN.

Properties
D(E_F)	4.166	states/eV per cell
formation energy without anion corrections	1.62	eV/atom
electronic total energy	-44.201	eV/atom
magnetic moment	4.7	μB per formula unit

Cell lengths 7.053, 7.053, 4.974 Å; angles 90.00, 90.00, 90.00 degrees
Element x y z (fractional)
Cs  0.000  0.500  0.000
Cs  0.500  0.000  0.000
Tl  0.000  0.000  0.000
Re  0.500  0.500  0.500
Si  0.000  0.000  0.500

A crystal of Cs3ReTc relaxed with PBEsol, computed with meta-GGA SCAN.

Properties
ΔE_f	2.401	eV/atom
D(E_F)	5.193	states/eV per cell
electronic total energy	-41.517	eV/atom
magnetic moment	3.8	μB per formula unit

Cell lengths 5.644, 5.644, 5.644 Å; angles 90.00, 90.00, 90.00 degrees
Element x y z (fractional)
Cs  0.000  0.000  0.500
Cs  0.000  0.500  0.000
Cs  0.500  0.000  0.000
Re  0.500  0.500  0.500
Tc  0.000  0.000  0.000

Which of these has the lowest D(E_F)?
Cs2TlReSi

What is the formula in the first record?
Cs2TlReSi

Number 1 is which compound?
Cs2TlReSi

The lowest D(E_F) belongs to which entry?
Cs2TlReSi